AcIn2IO8: optimized geometry, PBE.

raw formation energy: -1.37 eV per atom
E: -5.599 eV per atom

Cell lengths 4.9536, 7.0936, 4.9831 Å; angles 90.00, 91.38, 90.00 degrees
Closest atoms and distances in Å follow each position.
Space group P2/m (No. 10)
One atom of each set of equivalent atoms:
Ac1 0.0000 0.0000 0.0000  6 O 2.32-2.52
In1 0.5000 0.2550 0.5000  6 O 2.19-2.35
I1 0.0000 0.5000 0.0000  6 O 1.91-1.97
O1 0.1868 0.3035 0.1900  1 I 1.91
O2 0.2789 0.5000 0.7254  1 I 1.97
O3 0.3355 0.0000 0.6822  2 In 2.19, 1 Ac 2.32